Record 1
A relaxed structure of Mg3Al2Ag7, computed with GGA-PBE.

a b c (Å): 4.6292 4.6289 10.3495
angles (deg): 102.79 77.19 89.50
Last column: nearest neighbours and their distance in Å.
Fractional coordinates of all 12 atoms:
1 Ag 0.4125 0.0882 0.1754  4 Mg 2.78-2.89, 2 Al 2.79, 2 Ag 2.88-2.89
2 Ag 0.7501 0.7500 0.5000  4 Al 2.83, 4 Mg 2.84
3 Ag 0.2499 0.2500 0.5000  4 Al 2.83, 4 Mg 2.84
4 Ag 0.5875 0.9118 0.8246  4 Mg 2.78-2.89, 2 Al 2.79, 2 Ag 2.88-2.89
5 Ag 0.0882 0.4125 0.8247  4 Mg 2.78-2.89, 2 Al 2.79, 2 Ag 2.88-2.89
6 Ag 0.9118 0.5875 0.1753  4 Mg 2.78-2.89, 2 Al 2.79, 2 Ag 2.88-2.89
7 Ag 0.0000 0.0000 0.0000  8 Ag 2.88-2.89
8 Mg 0.1664 0.8335 0.6670  8 Ag 2.78-2.84
9 Mg 0.8336 0.1665 0.3330  8 Ag 2.78-2.84
10 Mg 0.5000 0.5000 0.0000  8 Ag 2.88-2.89
11 Al 0.3328 0.6672 0.3339  8 Ag 2.79-2.83
12 Al 0.6672 0.3328 0.6661  8 Ag 2.79-2.83

Summary:
Symmetry   C2/m
DFT formation energy   -2.0 eV/f.u.
DOS(E_F)   2.05 states/eV/f.u.

Record 2
A relaxed structure of Cs2VCoI6, computed with GGA-PBE.

a b c (Å): 8.0853 8.0853 8.0801
angles (deg): 59.98 59.98 90.00
Last column: nearest neighbours and their distance in Å.
Fractional coordinates of all 10 atoms:
1 I 0.7510 0.7510 0.4980  1 Co 2.84, 1 V 2.87
2 I 0.2496 0.7504 0.0000  1 Co 2.85, 1 V 2.86
3 I 0.2496 0.2496 0.0000  1 Co 2.85, 1 V 2.86
4 I 0.2490 0.2490 0.5020  1 Co 2.84, 1 V 2.87
5 I 0.7504 0.2496 0.0000  1 Co 2.85, 1 V 2.86
6 I 0.7504 0.7504 0.0000  1 Co 2.85, 1 V 2.86
7 Co 0.0000 0.0000 0.0000  6 I 2.84-2.85
8 Cs 0.7500 0.2500 0.5000  12 I 4.04
9 Cs 0.2500 0.7500 0.5000  12 I 4.04
10 V 0.5000 0.5000 0.0000  6 I 2.86-2.87

Summary:
Symmetry   I4/mmm
Formation energy (no corrections)   -0.665 eV per atom
DOS(E_F)   21.33 states/eV/f.u.

Record 3
A relaxed structure of Si2Se, computed with GGA-PBE.

a b c (Å): 7.7693 7.7693 7.7693
angles (deg): 150.39 150.39 42.37
Last column: nearest neighbours and their distance in Å.
Fractional coordinates of all 6 atoms:
1 Si 0.3312 0.8312 0.5000  3 Si 2.35-2.36
2 Si 0.1688 0.6688 0.5000  3 Si 2.35-2.36
3 Si 0.4188 0.4188 0.0000  3 Si 2.35-2.36
4 Si 0.5812 0.5812 0.0000  3 Si 2.35-2.36
5 Se 0.7500 0.2500 0.5000  12 Si 3.04-3.15
6 Se 0.0000 0.0000 0.0000  12 Si 3.04-3.15

Summary:
Polymorph energy (0 for the lowest one)   526.5 meV per atom
Symmetry   I4_1/amd
Formation energy (no corrections)   0.358 eV per atom
DOS(E_F)   0.67 states/eV/f.u.

Record 4
A relaxed structure of Pm8Pr2Sm, computed with GGA-PBE.

a b c (Å): 5.1746 8.1924 9.6724
angles (deg): 104.71 105.52 90.00
Last column: nearest neighbours and their distance in Å.
Fractional coordinates of all 11 atoms:
1 Pr 0.2272 0.6371 0.4544  10 Pm 3.66-3.69, 2 Pr 3.67
2 Pr 0.7728 0.3629 0.5456  10 Pm 3.66-3.69, 2 Pr 3.67
3 Pm 0.8645 0.8203 0.7289  7 Pm 3.64-3.67, 2 Sm 3.64, 3 Pr 3.67-3.69
4 Pm 0.0451 0.7278 0.0902  9 Pm 3.64-3.67, 2 Sm 3.66, 1 Pr 3.66
5 Pm 0.4098 0.5464 0.8196  8 Pm 3.64-3.67, 1 Sm 3.65, 3 Pr 3.67
6 Pm 0.1355 0.1797 0.2711  7 Pm 3.64-3.67, 2 Sm 3.64, 3 Pr 3.67-3.69
7 Pm 0.3185 0.0912 0.6370  1 Sm 3.65, 8 Pm 3.65-3.67, 3 Pr 3.66
8 Pm 0.5902 0.4536 0.1804  8 Pm 3.64-3.67, 1 Sm 3.65, 3 Pr 3.67
9 Pm 0.9549 0.2722 0.9097  9 Pm 3.64-3.67, 2 Sm 3.66, 1 Pr 3.66
10 Pm 0.6815 0.9088 0.3630  1 Sm 3.65, 8 Pm 3.65-3.67, 3 Pr 3.66
11 Sm 0.5000 0.0000 0.0000  12 Pm 3.64-3.66

Summary:
Polymorph energy (0 for the lowest one)   0.0 meV per atom
Symmetry   C2/m
DFT formation energy   0.1 eV/f.u.
DOS(E_F)   17.31 states/eV/f.u.

no.,E_tot (eV per atom),total magnetic moment (μB per cell)
1,-2.856,0.00
2,-3.389,5.04
3,-4.419,0.00
4,-4.739,0.00